The following is a DFT calculation (PBE) of GdYP after structural relaxation.

Space group = P3m1, No. 156
Total DFT energy (no corrections) = -9.646 eV/atom
Theoretical density = 5.43 g cm⁻³
Crystal system = trigonal

Cell: 3.9007 3.9007 6.4292 Å, 90.00 90.00 120.00°
Closest atoms and distances in Å follow each position.
Atoms (fractional coordinates):
Y  0.0000  0.0000  0.0822  3 P 2.77
Gd  0.3333  0.6667  0.5857  3 P 2.78
P  0.6667  0.3333  0.3320  3 Y 2.77, 3 Gd 2.78



The following is a DFT calculation (PBE) of BaGe12Pt6 after structural relaxation.

Space group = R-3m, No. 166
Total DFT energy (no corrections) = -5.197 eV/atom
Theoretical density = 9.08 g cm⁻³
Crystal system = trigonal

Cell: 7.5978 7.5978 7.5978 Å, 102.99 102.99 102.99°
Closest atoms and distances in Å follow each position.
Atoms (fractional coordinates):
Pt  0.2354  0.2354  0.6349  7 Ge 2.51-2.71
Ba  0.0000  0.0000  0.0000  18 Ge 4.13-4.17, 12 Pt 4.14-4.52
Ge  0.5000  0.8644  0.1356  4 Pt 2.64-2.71
Pt  0.3651  0.7646  0.7646  7 Ge 2.51-2.71
Ge  0.1356  0.5000  0.8644  4 Pt 2.64-2.71
Pt  0.2354  0.6349  0.2354  7 Ge 2.51-2.71
Ge  0.4701  0.4701  0.1528  3 Pt 2.51-2.67, 1 Ge 2.58
Ge  0.4701  0.1528  0.4701  3 Pt 2.51-2.67, 1 Ge 2.58
Ge  0.8472  0.5299  0.5299  3 Pt 2.51-2.67, 1 Ge 2.58
Ge  0.5000  0.1356  0.8644  4 Pt 2.64-2.71
Ge  0.8644  0.1356  0.5000  4 Pt 2.64-2.71
Ge  0.1356  0.8644  0.5000  4 Pt 2.64-2.71
Ge  0.1528  0.4701  0.4701  3 Pt 2.51-2.67, 1 Ge 2.58
Ge  0.5299  0.8472  0.5299  3 Pt 2.51-2.67, 1 Ge 2.58
Ge  0.8644  0.5000  0.1356  4 Pt 2.64-2.71
Pt  0.7646  0.3651  0.7646  7 Ge 2.51-2.71
Ge  0.5299  0.5299  0.8472  3 Pt 2.51-2.67, 1 Ge 2.58
Pt  0.7646  0.7646  0.3651  7 Ge 2.51-2.71
Pt  0.6349  0.2354  0.2354  7 Ge 2.51-2.71



The following is a DFT calculation (PBE) of Sm8Tm6Sc after structural relaxation.

Space group = R-3, No. 148
Theoretical density = 7.81 g cm⁻³
ΔE to the lowest computed polymorph = 0.76 kcal/mol of atoms
Crystal system = trigonal

Cell: 9.7621 9.7621 8.1058 Å, 52.97 52.97 60.00°
Closest atoms and distances in Å follow each position.
Atoms (fractional coordinates):
Sm  0.6496  0.7707  0.5168  3 Tm 3.28-3.48, 2 Sm 3.59, 1 Sc 3.66
Tm  0.6217  0.0619  0.0298  4 Sm 3.13-3.48, 1 Sc 3.31, 2 Tm 3.32
Tm  0.9381  0.7134  0.9702  4 Sm 3.13-3.48, 1 Sc 3.31, 2 Tm 3.32
Sm  0.3504  0.2293  0.4832  3 Tm 3.28-3.48, 2 Sm 3.59, 1 Sc 3.66
Sm  0.2293  0.9371  0.4832  3 Tm 3.28-3.48, 2 Sm 3.59, 1 Sc 3.66
Sm  0.9371  0.3504  0.4832  3 Tm 3.28-3.48, 2 Sm 3.59, 1 Sc 3.66
Tm  0.2866  0.6217  0.0298  4 Sm 3.13-3.48, 1 Sc 3.31, 2 Tm 3.32
Sc  0.0000  0.0000  0.0000  6 Tm 3.31, 6 Sm 3.66
Sm  0.4086  0.4086  0.7743  3 Tm 3.13, 1 Sm 3.20
Tm  0.0619  0.2866  0.0298  4 Sm 3.13-3.48, 1 Sc 3.31, 2 Tm 3.32
Sm  0.7707  0.0629  0.5168  3 Tm 3.28-3.48, 2 Sm 3.59, 1 Sc 3.66
Sm  0.0629  0.6496  0.5168  3 Tm 3.28-3.48, 2 Sm 3.59, 1 Sc 3.66
Sm  0.5914  0.5914  0.2257  3 Tm 3.13, 1 Sm 3.20
Tm  0.7134  0.3783  0.9702  4 Sm 3.13-3.48, 1 Sc 3.31, 2 Tm 3.32
Tm  0.3783  0.9381  0.9702  4 Sm 3.13-3.48, 1 Sc 3.31, 2 Tm 3.32



The following is a DFT calculation (PBE) of SrTc2Os after structural relaxation.

Space group = C2/m, No. 12
Theoretical density = 9.58 g cm⁻³
ΔE to the lowest computed polymorph = 1.03 kcal/mol of atoms
Crystal system = monoclinic

Cell: 4.9998 4.9998 5.7206 Å, 76.74 76.74 36.28°
Closest atoms and distances in Å follow each position.
Atoms (fractional coordinates):
Sr  0.2500  0.2500  0.2500  2 Sr 3.11, 6 Tc 3.20-3.35, 4 Os 3.26
Os  0.7500  0.7500  0.7500  4 Tc 2.54
Tc  0.4646  0.4646  0.6035  2 Tc 2.50, 2 Os 2.54
Tc  0.0354  0.0354  0.8965  2 Tc 2.50, 2 Os 2.54